# 1
VASP calculation (GGA-PBE) on a relaxed K3Mg2RhO6 crystal.

Summary:
* calculated total energy: -5.228 eV per atom
* space-group type: C2/m (12)

abc: 5.4960 5.4960 6.2965
angles: 98.37 98.37 120.01
Site moments in Bohr magnetons follow the coordinates.
Element x y z (fractional)
O 0.6248 0.9409 0.8239  0.12
Rh 0.0000 0.0000 0.0000  1.07
O 0.9409 0.6248 0.8239  0.12
K 0.1692 0.8308 0.5000  0.00
K 0.8308 0.1692 0.5000  0.00
K 0.5000 0.5000 0.5000  0.00
O 0.0591 0.3752 0.1761  0.12
O 0.2567 0.2567 0.8226  0.12
O 0.7433 0.7433 0.1774  0.12
Mg 0.6665 0.3335 0.0000  0.00
Mg 0.3335 0.6665 0.0000  0.00
O 0.3752 0.0591 0.1761  0.12

---

# 2
VASP calculation (GGA-PBE) on a relaxed CdSi2Rh crystal.

Summary:
* calculated total energy: -4.557 eV per atom
* space-group type: I-42d (122)

abc: 6.1239 6.1239 6.4653
angles: 61.73 61.73 90.00
Element x y z (fractional)
Cd 0.0000 0.0000 0.0000
Si 0.8750 0.8196 0.7500
Si 0.1804 0.6250 0.2500
Rh 0.2500 0.7500 0.5000
Si 0.3750 0.4304 0.7500
Si 0.5696 0.1250 0.2500
Cd 0.7500 0.2500 0.5000
Rh 0.5000 0.5000 0.0000

---

# 3
VASP calculation (GGA-PBE) on a relaxed BaHoPt crystal.

Summary:
* relative energy among the computed polymorphs: 141 meV per atom
* calculated formation energy: -0.66 eV per atom
* space-group type: I4mm (107)

abc: 3.7066 3.7066 7.3336
angles: 104.64 104.64 90.00
Element x y z (fractional)
Ba 0.0262 0.0262 0.0524
Pt 0.6924 0.6924 0.3848
Ho 0.2814 0.2814 0.5628

---

# 4
VASP calculation (GGA-PBE) on a relaxed CdS2 crystal.

Summary:
* calculated total energy: -3.385 eV per atom
* space-group type: Pa-3 (205)

abc: 6.3993 6.3993 6.3993
angles: 90.00 90.00 90.00
Element x y z (fractional)
S 0.0941 0.5941 0.9059
S 0.5941 0.5941 0.5941
S 0.0941 0.9059 0.4059
S 0.4059 0.4059 0.4059
S 0.9059 0.4059 0.0941
Cd 0.0000 0.5000 0.5000
Cd 0.0000 0.0000 0.0000
S 0.5941 0.9059 0.0941
S 0.4059 0.0941 0.9059
Cd 0.5000 0.5000 0.0000
Cd 0.5000 0.0000 0.5000
S 0.9059 0.0941 0.5941